Record 1
Entry from the Alexandria database: an optimized crystal structure of CsHg3Pd (PBE).

Lattice parameters (Å, degrees): 4.7176 4.7176 21.4191 90.00 90.00 120.00
Sites, in units of the cell vectors:
Hg 0.6667 0.3333 0.3764
Hg 0.3333 0.6667 0.6236
Hg 0.6667 0.3333 0.1236
Hg 0.0000 0.0000 0.2500
Hg 0.3333 0.6667 0.8764
Cs 0.0000 0.0000 0.0000
Hg 0.0000 0.0000 0.7500
Pd 0.3333 0.6667 0.7500
Pd 0.6667 0.3333 0.2500
Cs 0.0000 0.0000 0.5000

The value obtained for the energy of formation is -0.0210 eV per atom. Its space group is No. 194. The value obtained for the relative energy among the computed polymorphs is 255 meV per atom.

Record 2
Entry from the Alexandria database: an optimized crystal structure of CdGe2Pd9 (PBE).

Lattice parameters (Å, degrees): 3.9658 3.9658 11.9054 90.00 90.00 90.00
Sites, in units of the cell vectors:
Pd 0.5000 0.0000 0.8234
Pd 0.0000 0.5000 0.5000
Pd 0.5000 0.0000 0.1766
Ge 0.0000 0.0000 0.3323
Pd 0.5000 0.5000 0.0000
Pd 0.5000 0.5000 0.6607
Pd 0.5000 0.0000 0.5000
Pd 0.0000 0.5000 0.1766
Ge 0.0000 0.0000 0.6677
Cd 0.0000 0.0000 0.0000
Pd 0.0000 0.5000 0.8234
Pd 0.5000 0.5000 0.3393

The value obtained for the energy of formation is -0.3260 eV per atom. Its space group is No. 123.

Record 3
Entry from the Alexandria database: an optimized crystal structure of SrGa2Re4 (PBE).

Lattice parameters (Å, degrees): 4.7219 4.7219 7.3290 71.21 71.21 90.00
Each line ends with the local moment (μB).
Sites, in units of the cell vectors:
Re 0.2045 0.2045 0.5910  0.59
Sr 0.0000 0.0000 0.0000  0.00
Ga 0.6107 0.6107 0.7787  -0.01
Re 0.0000 0.5000 0.0000  -0.24
Ga 0.3893 0.3893 0.2213  -0.01
Re 0.5000 0.0000 0.0000  -0.24
Re 0.7955 0.7955 0.4090  0.59

The value obtained for the energy of formation is 2.8668 eV per atom. Its space group is No. 139.

Record 4
Entry from the Alexandria database: an optimized crystal structure of NaCd5In6 (PBE).

Lattice parameters (Å, degrees): 4.7514 7.3521 9.1147 90.00 90.00 71.15
Sites, in units of the cell vectors:
Cd 0.6674 0.6652 0.5000
In 0.1683 0.6639 0.2556
Cd 0.6695 0.6609 0.0000
In 0.8322 0.3361 0.2556
Cd 0.3305 0.3391 0.0000
In 0.5002 0.0000 0.2550
Na 0.0000 0.0000 0.0000
Cd 0.0000 0.0000 0.5000
In 0.4998 0.0000 0.7450
Cd 0.3326 0.3348 0.5000
In 0.1678 0.6639 0.7444
In 0.8317 0.3361 0.7444

The value obtained for the energy of formation is -0.0052 eV per atom. Its space group is No. 65.

Record 5
Entry from the Alexandria database: an optimized crystal structure of Rb2CePu2Se6 (PBE).

Lattice parameters (Å, degrees): 7.3935 7.3935 8.4907 98.30 98.30 120.12
Each line ends with the local moment (μB).
Sites, in units of the cell vectors:
Se 0.9386 0.6010 0.3108  -0.10
Se 0.3990 0.0614 0.6892  -0.10
Pu 0.3338 0.6662 0.5000  4.98
Se 0.7276 0.7276 0.6898  -0.10
Se 0.2724 0.2724 0.3102  -0.10
Se 0.6010 0.9386 0.3108  -0.10
Se 0.0614 0.3990 0.6892  -0.10
Rb 0.8334 0.1666 0.0000  0.00
Pu 0.6662 0.3338 0.5000  4.98
Rb 0.1666 0.8334 0.0000  0.00
Ce 0.0000 0.0000 0.5000  0.59

Its space group is No. 12. The formation energy from raw total energies comes out at -1.5152 eV per atom.

Record 6
Entry from the Alexandria database: an optimized crystal structure of Li3TmCd3 (PBE).

Lattice parameters (Å, degrees): 6.9626 6.9626 6.9626 90.00 90.00 90.00
Sites, in units of the cell vectors:
Tm 0.5000 0.5000 0.5000
Cd 0.0000 0.5000 0.7500
Li 0.0000 0.7500 0.5000
Li 0.5000 0.0000 0.2500
Cd 0.5000 0.2500 0.0000
Cd 0.0000 0.5000 0.2500
Li 0.0000 0.2500 0.5000
Cd 0.5000 0.7500 0.0000
Li 0.2500 0.5000 0.0000
Li 0.5000 0.0000 0.7500
Cd 0.7500 0.0000 0.5000
Tm 0.0000 0.0000 0.0000
Li 0.7500 0.5000 0.0000
Cd 0.2500 0.0000 0.5000

The value obtained for the energy of formation is 0.2675 eV per atom. Its space group is No. 223.

Record 7
Entry from the Alexandria database: an optimized crystal structure of Tl5Br4 (PBE).

Lattice parameters (Å, degrees): 10.0476 10.0476 7.0790 90.00 90.00 120.00
Sites, in units of the cell vectors:
Br 0.3780 0.3780 0.7500
Br 0.0000 0.0000 0.5000
Br 0.6220 0.6220 0.2500
Tl 0.6667 0.3333 0.5000
Tl 0.0000 0.7296 0.2500
Br 0.0000 0.3780 0.2500
Tl 0.2704 0.2704 0.2500
Tl 0.7296 0.0000 0.2500
Br 0.3780 0.0000 0.2500
Br 0.6220 0.0000 0.7500
Tl 0.0000 0.2704 0.7500
Tl 0.7296 0.7296 0.7500
Br 0.0000 0.6220 0.7500
Tl 0.6667 0.3333 0.0000
Tl 0.2704 0.0000 0.7500
Tl 0.3333 0.6667 0.5000
Tl 0.3333 0.6667 0.0000
Br 0.0000 0.0000 0.0000

Its space group is No. 193. The formation energy from raw total energies comes out at -0.6528 eV per atom.

Record 8
Entry from the Alexandria database: an optimized crystal structure of Li2HfBeSb (PBE).

Lattice parameters (Å, degrees): 5.0925 4.7171 5.0925 90.00 90.00 90.00
Each line ends with the local moment (μB).
Sites, in units of the cell vectors:
Sb 0.5000 0.5000 0.5000  0.08
Li 0.0000 0.0000 0.5000  -0.05
Hf 0.0000 0.0000 0.0000  -1.23
Li 0.5000 0.0000 0.0000  -0.07
Be 0.0000 0.5000 0.0000  -0.09

Its space group is No. 123. The formation energy from raw total energies comes out at 1.2595 eV per atom. The value obtained for the relative energy among the computed polymorphs is 1141 meV per atom.

Record 9
Entry from the Alexandria database: an optimized crystal structure of NbSnPt3 (PBE).

Lattice parameters (Å, degrees): 4.9320 4.9320 4.9320 90.00 90.00 90.00
Sites, in units of the cell vectors:
Pt 0.0000 0.0000 0.5000
Pt 0.0000 0.5000 0.0000
Nb 0.0000 0.0000 0.0000
Pt 0.5000 0.0000 0.0000
Sn 0.5000 0.5000 0.5000

The value obtained for the energy of formation is 0.6286 eV per atom. Its space group is No. 221. The value obtained for the relative energy among the computed polymorphs is 0 meV per atom.

Record 10
Entry from the Alexandria database: an optimized crystal structure of AcPmY (PBE).

Lattice parameters (Å, degrees): 5.3415 5.3330 8.2369 71.07 90.00 90.00
Sites, in units of the cell vectors:
Y 0.9280 0.6766 0.7422
Pm 0.9281 0.3332 0.4290
Pm 0.4281 0.1757 0.7443
Ac 0.9280 0.0049 0.0858
Y 0.4281 0.8323 0.4311
Ac 0.4280 0.5040 0.0874

The value obtained for the energy of formation is 0.0443 eV per atom. Its space group is No. 63. The value obtained for the relative energy among the computed polymorphs is 0 meV per atom.

Record 11
Entry from the Alexandria database: an optimized crystal structure of Ag3C4 (PBE).

Lattice parameters (Å, degrees): 4.5345 4.5345 4.5345 90.00 90.00 90.00
Sites, in units of the cell vectors:
C 0.0000 0.5000 0.5000
C 0.5000 0.5000 0.0000
Ag 0.0000 0.0000 0.5000
C 0.5000 0.0000 0.5000
Ag 0.0000 0.5000 0.0000
C 0.0000 0.0000 0.0000
Ag 0.5000 0.0000 0.0000

The value obtained for the energy of formation is 2.7941 eV per atom. Its space group is No. 221. The value obtained for the relative energy among the computed polymorphs is 1261 meV per atom.

Record 12
Entry from the Alexandria database: an optimized crystal structure of CdTePbO5 (PBE).

Lattice parameters (Å, degrees): 6.0424 6.0424 8.6034 110.50 110.50 92.77
Sites, in units of the cell vectors:
O 0.2191 0.7224 0.9754
O 0.0451 0.9549 0.2500
Te 0.6840 0.3160 0.2500
Pb 0.0000 0.0000 0.0000
Pb 0.0000 0.0000 0.5000
O 0.9549 0.0451 0.7500
Cd 0.6975 0.3025 0.7500
O 0.7224 0.2191 0.4754
O 0.3423 0.2956 0.1500
Cd 0.3025 0.6975 0.2500
O 0.7809 0.2776 0.0246
Te 0.3160 0.6840 0.7500
O 0.2776 0.7809 0.5246
O 0.7044 0.6577 0.3500
O 0.6577 0.7044 0.8500
O 0.2956 0.3423 0.6500

Its space group is No. 15. The formation energy from raw total energies comes out at -0.8767 eV per atom.